CsB2AsI | GGA-PBE | optimized geometry

## Properties
**Formation energy without anion corrections**: 1.82 eV/atom
**Energy**: -2.261 eV per atom
**V**: 138.8 Å³ per cell

```
data_CsB2AsI
_chemical_formula_sum 'Cs1 B2 As1 I1'
_cell_length_a 4.958
_cell_length_b 4.958
_cell_length_c 5.646
_cell_angle_alpha 90.00
_cell_angle_beta 90.00
_cell_angle_gamma 90.00
_symmetry_space_group_name_H-M 'P 4/m m m'
_symmetry_Int_Tables_number 123
_symmetry_space_group_name_Hall '-P 4 2'
loop_
_atom_site_label
_atom_site_fract_x
_atom_site_fract_y
_atom_site_fract_z
Cs1 0.000 0.000 0.000
B1 0.000 0.500 0.500
As1 0.500 0.500 0.000
I1 0.500 0.500 0.500
```